# 1
The following is a DFT calculation (PBE) of crystalline Rb3SrSi at its relaxed geometry.

ΔE to the lowest computed polymorph: 594 meV/atom
V: 107.054 Å³/atom
SG: Pm-3m (221)

Cell: 8.119 8.119 8.119 Å, 90.00 90.00 90.00°
Each line ends with the local moment (μB).
Fractional positions:
Si: 0.500 0.500 0.500  0.59
Rb: 0.000 0.500 0.000  -0.03
Rb: 0.500 0.000 0.000  -0.03
Rb: 0.000 0.000 0.500  -0.01
Sr: 0.000 0.000 0.000  -0.09

# 2
The following is a DFT calculation (PBE) of crystalline Na12In6Au at its relaxed geometry.

Formation enthalpy at 0 K: -82 meV/atom
V: 29.485 Å³/atom
SG: R-3 (148)

Cell: 8.742 8.742 8.742 Å, 106.75 106.75 106.75°
Fractional positions:
Na: 0.493 0.197 0.641
Na: 0.507 0.803 0.359
Na: 0.986 0.142 0.688
Na: 0.803 0.359 0.507
Na: 0.142 0.688 0.986
Na: 0.858 0.312 0.014
Na: 0.197 0.641 0.493
Na: 0.359 0.507 0.803
Na: 0.014 0.858 0.312
Na: 0.312 0.014 0.858
Na: 0.688 0.986 0.142
Na: 0.641 0.493 0.197
In: 0.754 0.629 0.888
In: 0.629 0.888 0.754
In: 0.246 0.371 0.112
In: 0.371 0.112 0.246
In: 0.112 0.246 0.371
In: 0.888 0.754 0.629
Au: 0.000 0.000 0.000

# 3
The following is a DFT calculation (PBE) of crystalline Zr2Tl2Tc at its relaxed geometry.

Formation enthalpy at 0 K: 649 meV/atom
ΔE to the lowest computed polymorph: 328 meV/atom
V: 23.916 Å³/atom
SG: I4/mmm (139)

Cell: 3.844 3.844 8.535 Å, 76.98 76.98 90.00°
Fractional positions:
Zr: 0.588 0.588 0.823
Zr: 0.412 0.412 0.177
Tc: 0.000 0.000 0.000
Tl: 0.750 0.250 0.500
Tl: 0.250 0.750 0.500

# 4
The following is a DFT calculation (PBE) of crystalline Pm3CoGe at its relaxed geometry.

Formation enthalpy at 0 K: -268 meV/atom
ΔE to the lowest computed polymorph: 0 meV/atom
V: 25.866 Å³/atom
SG: Pm (6)

Cell: 5.064 7.411 6.948 Å, 97.26 90.00 90.00°
Fractional positions:
Co: 0.543 0.661 0.819
Co: 0.043 0.449 0.204
Pm: 0.043 0.175 0.414
Pm: 0.543 0.347 0.995
Pm: 0.543 0.515 0.449
Pm: 0.543 0.891 0.152
Pm: 0.543 0.966 0.665
Pm: 0.043 0.662 0.857
Ge: 0.043 0.121 0.947
Ge: 0.043 0.756 0.376

# 5
The following is a DFT calculation (PBE) of crystalline Ti4TcPd at its relaxed geometry.

Formation enthalpy at 0 K: -400 meV/atom
ΔE to the lowest computed polymorph: 0 meV/atom
V: 15.782 Å³/atom
SG: P4/mmm (123)

Cell: 3.129 3.129 9.674 Å, 90.00 90.00 90.00°
Fractional positions:
Ti: 0.000 0.000 0.332
Ti: 0.500 0.500 0.845
Ti: 0.500 0.500 0.155
Ti: 0.000 0.000 0.668
Pd: 0.500 0.500 0.500
Tc: 0.000 0.000 0.000

# 6
The following is a DFT calculation (PBE) of crystalline K2Nb6AgP3O24 at its relaxed geometry.

V: 15.580 Å³/atom
Raw total energy: -7.95 eV per atom
SG: C2 (5)

Cell: 8.593 8.593 8.600 Å, 75.32 75.32 104.16°
Fractional positions:
O: 0.356 0.238 0.440
O: 0.561 0.362 0.768
O: 0.791 0.930 0.314
O: 0.928 0.681 0.215
O: 0.444 0.764 0.361
O: 0.025 0.975 0.500
O: 0.288 0.870 0.582
O: 0.236 0.556 0.639
O: 0.154 0.998 0.150
O: 0.575 0.124 0.290
O: 0.416 0.284 0.128
O: 0.975 0.497 0.980
O: 0.846 0.154 0.000
O: 0.207 0.308 0.929
O: 0.876 0.425 0.710
O: 0.503 0.025 0.020
O: 0.762 0.644 0.560
O: 0.716 0.584 0.872
O: 0.692 0.793 0.071
O: 0.070 0.209 0.686
O: 0.638 0.439 0.232
O: 0.002 0.846 0.850
O: 0.130 0.712 0.418
O: 0.319 0.072 0.785
K: 0.580 0.904 0.690
K: 0.096 0.420 0.310
Nb: 0.647 0.964 0.154
Nb: 0.036 0.353 0.846
Nb: 0.844 0.645 0.040
Nb: 0.151 0.033 0.651
Nb: 0.967 0.849 0.349
Nb: 0.355 0.156 0.960
P: 0.497 0.268 0.269
P: 0.271 0.729 0.500
P: 0.732 0.503 0.731
Ag: 0.506 0.494 0.500

# 7
The following is a DFT calculation (PBE) of crystalline LaZr3Sn at its relaxed geometry.

Formation enthalpy at 0 K: 1051 meV/atom
ΔE to the lowest computed polymorph: 459 meV/atom
V: 26.969 Å³/atom
SG: Pm-3m (221)

Cell: 5.128 5.128 5.128 Å, 90.00 90.00 90.00°
Fractional positions:
Zr: 0.000 0.000 0.500
Zr: 0.000 0.500 0.000
Zr: 0.500 0.000 0.000
Sn: 0.500 0.500 0.500
La: 0.000 0.000 0.000

# 8
The following is a DFT calculation (PBE) of crystalline Ca2HoF at its relaxed geometry.

V: 27.480 Å³/atom
Raw total energy: -3.61 eV per atom
SG: R-3m (166)

Cell: 3.572 3.572 10.157 Å, 79.87 79.87 60.00°
Each line ends with the local moment (μB).
Fractional positions:
F: 0.500 0.500 0.500  0.02
Ca: 0.887 0.887 0.339  0.11
Ca: 0.113 0.113 0.661  0.11
Ho: 0.000 0.000 0.000  -0.34

# 9
The following is a DFT calculation (PBE) of crystalline Sm6Sb2PSe3 at its relaxed geometry.

V: 27.620 Å³/atom
Raw total energy: -5.95 eV per atom
SG: C2/m (12)

Cell: 4.255 8.571 9.565 Å, 102.64 102.85 90.00°
Fractional positions:
P: 0.500 0.000 0.000
Sb: 0.167 0.335 0.335
Sb: 0.833 0.665 0.665
Se: 0.500 0.500 0.000
Se: 0.169 0.836 0.338
Se: 0.831 0.164 0.662
Sm: 0.998 0.229 0.995
Sm: 0.002 0.771 0.005
Sm: 0.343 0.928 0.686
Sm: 0.339 0.410 0.677
Sm: 0.661 0.590 0.323
Sm: 0.657 0.072 0.314

# 10
The following is a DFT calculation (PBE) of crystalline CeTmCuRu at its relaxed geometry.

Formation enthalpy at 0 K: -283 meV/atom
V: 20.318 Å³/atom
SG: F-43m (216)

Cell: 4.862 4.862 4.862 Å, 60.00 60.00 60.00°
Fractional positions:
Cu: 0.250 0.250 0.250
Tm: 0.500 0.500 0.500
Ce: 0.000 0.000 0.000
Ru: 0.750 0.750 0.750

# 11
The following is a DFT calculation (PBE) of crystalline Cd2InI2 at its relaxed geometry.

ΔE to the lowest computed polymorph: 2 meV/atom
V: 34.675 Å³/atom
SG: I4/mmm (139)

Cell: 4.184 4.184 10.335 Å, 78.32 78.32 90.00°
Fractional positions:
Cd: 0.250 0.750 0.500
Cd: 0.750 0.250 0.500
I: 0.602 0.602 0.796
I: 0.398 0.398 0.204
In: 0.000 0.000 0.000

# 12
The following is a DFT calculation (PBE) of crystalline Ba2Tl6CdPb at its relaxed geometry.

Formation enthalpy at 0 K: -108 meV/atom
V: 36.586 Å³/atom
SG: R-3m (166)

Cell: 7.790 7.790 14.631 Å, 74.56 74.56 60.00°
Fractional positions:
Ba: 0.891 0.891 0.327
Ba: 0.719 0.719 0.843
Ba: 0.109 0.109 0.673
Ba: 0.281 0.281 0.157
Tl: 0.333 0.928 0.407
Tl: 0.777 0.353 0.093
Tl: 0.223 0.223 0.907
Tl: 0.928 0.333 0.407
Tl: 0.353 0.777 0.093
Tl: 0.223 0.647 0.907
Tl: 0.647 0.223 0.907
Tl: 0.333 0.333 0.407
Tl: 0.667 0.667 0.593
Tl: 0.667 0.072 0.593
Tl: 0.072 0.667 0.593
Tl: 0.777 0.777 0.093
Cd: 0.500 0.500 0.500
Cd: 0.000 0.000 0.000
Pb: 0.426 0.426 0.723
Pb: 0.574 0.574 0.277

# 13
The following is a DFT calculation (PBE) of crystalline TePd5Au2 at its relaxed geometry.

V: 16.813 Å³/atom
Raw total energy: -4.61 eV per atom
SG: I4/mmm (139)

Cell: 4.157 4.157 8.322 Å, 104.46 104.46 90.00°
Fractional positions:
Pd: 0.500 0.500 0.000
Pd: 0.623 0.123 0.247
Pd: 0.877 0.377 0.753
Pd: 0.123 0.623 0.247
Pd: 0.377 0.877 0.753
Au: 0.749 0.749 0.498
Au: 0.251 0.251 0.502
Te: 0.000 0.000 0.000

# 14
The following is a DFT calculation (PBE) of crystalline Nd3Dy3Tm4 at its relaxed geometry.

Formation enthalpy at 0 K: 94 meV/atom
V: 32.570 Å³/atom
SG: Amm2 (38)

Cell: 3.659 9.435 9.435 Å, 90.25 90.00 90.00°
Fractional positions:
Nd: 0.500 0.325 0.326
Nd: 0.500 0.674 0.675
Nd: 0.500 0.826 0.174
Tm: 0.000 0.624 0.376
Tm: 0.000 0.375 0.625
Tm: 0.000 0.126 0.121
Tm: 0.000 0.879 0.874
Dy: 0.000 0.495 0.998
Dy: 0.000 0.002 0.505
Dy: 0.500 0.174 0.826

# 15
The following is a DFT calculation (PBE) of crystalline PmErTm at its relaxed geometry.

Formation enthalpy at 0 K: 69 meV/atom
ΔE to the lowest computed polymorph: 44 meV/atom
V: 31.603 Å³/atom
SG: P2_1/m (11)

Cell: 3.492 5.297 10.397 Å, 90.00 99.63 90.00°
Fractional positions:
Tm: 0.793 0.750 0.083
Tm: 0.207 0.250 0.917
Er: 0.378 0.250 0.254
Er: 0.622 0.750 0.746
Pm: 0.043 0.250 0.589
Pm: 0.957 0.750 0.411

# 16
The following is a DFT calculation (PBE) of crystalline CsLaTeH2 at its relaxed geometry.

ΔE to the lowest computed polymorph: 135 meV/atom
V: 27.418 Å³/atom
SG: Amm2 (38)

Cell: 5.244 4.536 11.525 Å, 90.00 90.00 90.00°
Fractional positions:
H: 0.500 0.500 0.842
H: 0.000 0.000 0.786
H: 0.500 0.000 0.342
H: 0.000 0.500 0.286
La: 0.500 0.500 0.278
La: 0.500 0.000 0.778
Te: 0.500 0.000 0.077
Te: 0.500 0.500 0.577
Cs: 0.000 0.500 0.972
Cs: 0.000 0.000 0.472

# 17
The following is a DFT calculation (PBE) of crystalline V2Co6Re at its relaxed geometry.

Formation enthalpy at 0 K: 162 meV/atom
ΔE to the lowest computed polymorph: 56 meV/atom
V: 12.247 Å³/atom
SG: P-3m1 (164)

Cell: 5.516 4.803 4.803 Å, 120.00 90.00 90.00°
Each line ends with the local moment (μB).
Fractional positions:
Co: 0.830 0.824 0.176  0.36
Co: 0.170 0.648 0.824  0.36
Co: 0.170 0.176 0.824  0.36
Co: 0.170 0.176 0.352  0.36
Co: 0.830 0.352 0.176  0.36
Co: 0.830 0.824 0.648  0.36
V: 0.368 0.667 0.333  -0.47
V: 0.632 0.333 0.667  -0.47
Re: 0.500 0.000 0.000  -0.03

# 18
The following is a DFT calculation (PBE) of crystalline GdSc2I at its relaxed geometry.

V: 27.756 Å³/atom
Raw total energy: -7.29 eV per atom
SG: R-3m (166)

Cell: 3.597 3.597 10.121 Å, 79.76 79.76 60.00°
Each line ends with the local moment (μB).
Fractional positions:
I: 0.000 0.000 0.000  0.00
Sc: 0.744 0.744 0.767  -0.11
Sc: 0.256 0.256 0.233  -0.11
Gd: 0.500 0.500 0.500  7.11

# 19
The following is a DFT calculation (PBE) of crystalline HfCl2O at its relaxed geometry.

V: 14.544 Å³/atom
Raw total energy: -5.44 eV per atom
SG: Fm-3m (225)

Cell: 4.349 4.349 4.349 Å, 60.00 60.00 60.00°
Fractional positions:
Cl: 0.750 0.750 0.750
Cl: 0.250 0.250 0.250
O: 0.000 0.000 0.000
Hf: 0.500 0.500 0.500

# 20
The following is a DFT calculation (PBE) of crystalline RbGa2Se at its relaxed geometry.

V: 30.342 Å³/atom
Raw total energy: -2.86 eV per atom
SG: I-42d (122)

Cell: 8.573 8.573 6.903 Å, 51.62 51.62 90.00°
Fractional positions:
Rb: 0.000 0.000 0.000
Rb: 0.750 0.250 0.500
Se: 0.250 0.750 0.500
Se: 0.500 0.500 0.000
Ga: 0.566 0.125 0.250
Ga: 0.184 0.625 0.250
Ga: 0.375 0.434 0.750
Ga: 0.875 0.816 0.750

Per-record magnetization, Bohr magnetons per cell: 1.04, 0.00, 0.00, 0.00, 0.00, 0.00, 0.00, 0.17, 0.00, 0.00, 0.00, 0.00, 0.00, 0.00, 0.00, 0.00, 1.06, 6.93, 0.00, 0.00
Per-record DOS(E_F), states/eV per cell: 3.26, 5.62, 4.84, 8.95, 5.53, 0.00, 4.87, 4.69, 4.72, 5.80, 1.28, 9.30, 5.32, 7.77, 10.01, 0.00, 11.96, 5.35, 0.00, 4.20